The following is a PBE calculation of a relaxed structure of ErSeF, from the Alexandria database.

The structure in CIF format:
```
data_ErSeF
_space_group_name_H-M_alt 'P 1'
_space_group_IT_number 1
_space_group_name_Hall 'P 1'
_cell_length_a 5.271
_cell_length_b 5.271
_cell_length_c 6.814
_cell_angle_alpha 105.83
_cell_angle_beta 105.83
_cell_angle_gamma 44.38
loop_
_atom_site_label
_atom_site_type_symbol
_atom_site_fract_x
_atom_site_fract_y
_atom_site_fract_z
_atom_site_occupancy
Er1 Er 0.205 0.205 0.250 1
Er2 Er 0.795 0.795 0.750 1
Se1 Se 0.101 0.101 0.817 1
Se2 Se 0.899 0.899 0.183 1
F1 F 0.329 0.329 0.597 1
F2 F 0.671 0.671 0.403 1
```

The total moment comes out at 0.0 μB per cell. The calculation puts the uncorrected formation energy at -2820 meV/atom. The symmetry is C2/m, No. 12.

---

The following is a PBE calculation of a relaxed structure of Ce12Ru6Rh, from the Alexandria database.

The structure in CIF format:
```
data_Ce12Ru6Rh
_space_group_name_H-M_alt 'P 1'
_space_group_IT_number 1
_space_group_name_Hall 'P 1'
_cell_length_a 8.042
_cell_length_b 8.042
_cell_length_c 8.042
_cell_angle_alpha 97.38
_cell_angle_beta 97.38
_cell_angle_gamma 97.38
loop_
_atom_site_label
_atom_site_type_symbol
_atom_site_fract_x
_atom_site_fract_y
_atom_site_fract_z
_atom_site_occupancy
Ce1 Ce 0.053 0.673 0.897 1
Ce2 Ce 0.103 0.947 0.327 1
Ce3 Ce 0.192 0.399 0.566 1
Ce4 Ce 0.327 0.103 0.947 1
Ce5 Ce 0.399 0.566 0.192 1
Ce6 Ce 0.434 0.808 0.601 1
Ce7 Ce 0.566 0.192 0.399 1
Ce8 Ce 0.601 0.434 0.808 1
Ce9 Ce 0.673 0.897 0.053 1
Ce10 Ce 0.808 0.601 0.434 1
Ce11 Ce 0.897 0.053 0.673 1
Ce12 Ce 0.947 0.327 0.103 1
Ru1 Ru 0.131 0.625 0.318 1
Ru2 Ru 0.318 0.131 0.625 1
Ru3 Ru 0.375 0.682 0.869 1
Ru4 Ru 0.625 0.318 0.131 1
Ru5 Ru 0.682 0.869 0.375 1
Ru6 Ru 0.869 0.375 0.682 1
Rh1 Rh 0.000 0.000 0.000 1
```

The total moment comes out at 5.9 μB per cell. The formation energy comes out at -0.2118 eV per atom. The symmetry is R-3, No. 148.

---

The following is a PBE calculation of a relaxed structure of Tb8NdDy2, from the Alexandria database.

The structure in CIF format:
```
data_Tb8NdDy2
_space_group_name_H-M_alt 'P 1'
_space_group_IT_number 1
_space_group_name_Hall 'P 1'
_cell_length_a 9.338
_cell_length_b 9.338
_cell_length_c 5.901
_cell_angle_alpha 105.80
_cell_angle_beta 105.80
_cell_angle_gamma 122.12
loop_
_atom_site_label
_atom_site_type_symbol
_atom_site_fract_x
_atom_site_fract_y
_atom_site_fract_z
_atom_site_occupancy
Tb1 Tb 0.099 0.339 0.684 1
Tb2 Tb 0.206 0.794 0.000 1
Tb3 Tb 0.339 0.099 0.684 1
Tb4 Tb 0.432 0.432 0.208 1
Tb5 Tb 0.568 0.568 0.792 1
Tb6 Tb 0.661 0.901 0.316 1
Tb7 Tb 0.794 0.206 0.000 1
Tb8 Tb 0.901 0.661 0.316 1
Nd1 Nd 0.000 0.000 0.000 1
Dy1 Dy 0.309 0.691 0.500 1
Dy2 Dy 0.691 0.309 0.500 1
```

The total moment comes out at 0.0 μB per cell. The formation energy comes out at 0.1539 eV per atom. The symmetry is C2/m, No. 12. The offset from the most stable computed form comes out at 0.0410 eV/atom.

---

The following is a PBE calculation of a relaxed structure of Mg3W, from the Alexandria database.

The structure in CIF format:
```
data_Mg3W
_space_group_name_H-M_alt 'P 1'
_space_group_IT_number 1
_space_group_name_Hall 'P 1'
_cell_length_a 5.927
_cell_length_b 5.927
_cell_length_c 4.921
_cell_angle_alpha 90.00
_cell_angle_beta 90.00
_cell_angle_gamma 120.00
loop_
_atom_site_label
_atom_site_type_symbol
_atom_site_fract_x
_atom_site_fract_y
_atom_site_fract_z
_atom_site_occupancy
Mg1 Mg 0.172 0.344 0.250 1
Mg2 Mg 0.172 0.828 0.250 1
Mg3 Mg 0.344 0.172 0.750 1
Mg4 Mg 0.656 0.828 0.250 1
Mg5 Mg 0.828 0.172 0.750 1
Mg6 Mg 0.828 0.656 0.750 1
W1 W 0.333 0.667 0.750 1
W2 W 0.667 0.333 0.250 1
```

The total moment comes out at 0.0 μB per cell. The formation energy comes out at 0.5562 eV per atom. The symmetry is P6_3/mmc, No. 194. The offset from the most stable computed form comes out at 0.2716 eV/atom.

---

The following is a PBE calculation of a relaxed structure of AcCdAs2, from the Alexandria database.

The structure in CIF format:
```
data_AcCdAs2
_space_group_name_H-M_alt 'P 1'
_space_group_IT_number 1
_space_group_name_Hall 'P 1'
_cell_length_a 5.233
_cell_length_b 5.233
_cell_length_c 5.233
_cell_angle_alpha 60.00
_cell_angle_beta 60.00
_cell_angle_gamma 60.00
loop_
_atom_site_label
_atom_site_type_symbol
_atom_site_fract_x
_atom_site_fract_y
_atom_site_fract_z
_atom_site_occupancy
Ac1 Ac 0.000 0.000 0.000 1
Cd1 Cd 0.500 0.500 0.500 1
As1 As 0.250 0.250 0.250 1
As2 As 0.750 0.750 0.750 1
```

The total moment comes out at 0.0 μB per cell. The formation energy comes out at -0.4929 eV per atom. The symmetry is Fm-3m, No. 225. The offset from the most stable computed form comes out at 0.1046 eV/atom.

---

The following is a PBE calculation of a relaxed structure of Ac2DyGe3Rh4, from the Alexandria database.

The structure in CIF format:
```
data_Ac2DyGe3Rh4
_space_group_name_H-M_alt 'P 1'
_space_group_IT_number 1
_space_group_name_Hall 'P 1'
_cell_length_a 4.296
_cell_length_b 4.296
_cell_length_c 11.305
_cell_angle_alpha 90.00
_cell_angle_beta 90.00
_cell_angle_gamma 90.00
loop_
_atom_site_label
_atom_site_type_symbol
_atom_site_fract_x
_atom_site_fract_y
_atom_site_fract_z
_atom_site_occupancy
Ac1 Ac 0.000 0.500 0.235 1
Ac2 Ac 0.500 0.000 0.765 1
Dy1 Dy 0.000 0.000 0.500 1
Ge1 Ge 0.000 0.500 0.882 1
Ge2 Ge 0.500 0.000 0.118 1
Ge3 Ge 0.500 0.500 0.500 1
Rh1 Rh 0.000 0.000 0.000 1
Rh2 Rh 0.000 0.500 0.656 1
Rh3 Rh 0.500 0.000 0.344 1
Rh4 Rh 0.500 0.500 0.000 1
```

The total moment comes out at 0.0 μB per cell. The formation energy comes out at -0.8676 eV per atom. The symmetry is P-4m2, No. 115.

---

Copy entry 5 word for word.
The following is a PBE calculation of a relaxed structure of AcCdAs2, from the Alexandria database.

The structure in CIF format:
```
data_AcCdAs2
_space_group_name_H-M_alt 'P 1'
_space_group_IT_number 1
_space_group_name_Hall 'P 1'
_cell_length_a 5.233
_cell_length_b 5.233
_cell_length_c 5.233
_cell_angle_alpha 60.00
_cell_angle_beta 60.00
_cell_angle_gamma 60.00
loop_
_atom_site_label
_atom_site_type_symbol
_atom_site_fract_x
_atom_site_fract_y
_atom_site_fract_z
_atom_site_occupancy
Ac1 Ac 0.000 0.000 0.000 1
Cd1 Cd 0.500 0.500 0.500 1
As1 As 0.250 0.250 0.250 1
As2 As 0.750 0.750 0.750 1
```

The total moment comes out at 0.0 μB per cell. The formation energy comes out at -0.4929 eV per atom. The symmetry is Fm-3m, No. 225. The offset from the most stable computed form comes out at 0.1046 eV/atom.

---

Q: Among the records above, which one has the highest total moment?
A: Ce12Ru6Rh